First-principles (PBE-GGA) data for a geometry-optimized LiCeInCu structure, as listed in Alexandria.

Output
Density: 6.77 g/cm3
Formation energy from the elements: -0.25 eV/atom
Total energy: -62.66 eV/cell

```
data_LiCeInCu
_chemical_formula_sum 'Li4 Ce4 In4 Cu4'
_symmetry_space_group_name_H-M 'F -4 3 m'
_symmetry_Int_Tables_number 216
_symmetry_space_group_name_Hall 'F -4 2 3'
_cell_length_a 6.835
_cell_length_b 6.835
_cell_length_c 6.835
_cell_angle_alpha 90.00
_cell_angle_beta 90.00
_cell_angle_gamma 90.00
loop_
_atom_site_label
_atom_site_type_symbol
_atom_site_fract_x
_atom_site_fract_y
_atom_site_fract_z
Li1 Li 0.000 0.000 0.000
Ce1 Ce 0.250 0.250 0.250
In1 In 0.250 0.250 0.750
Cu1 Cu 0.000 0.000 0.500
```